No. 1
Here is crystalline Th8TcOs3Se4 at its relaxed geometry from Alexandria. Energies are from PBE.

Output
formation energy without anion corrections = -952 meV per atom
magnetic moment = 0.00 μB per cell
final energy = -8.287 eV per atom

The structure in extended XYZ format:
```
16
Lattice="8.248 0.000 0.000 0.000 8.752 0.343 -4.124 -4.112 5.838" Properties=species:S:1:pos:R:3 pbc="T T T"
Th -2.071 2.230 5.947
Th 0.000 4.295 3.015
Th 0.000 0.363 3.166
Th 2.071 2.230 5.947
Th 2.053 2.410 0.234
Th 4.124 4.276 3.014
Th 4.124 0.344 3.166
Th 6.195 2.410 0.234
Tc 0.000 4.376 0.171
Os 4.124 4.376 0.171
Os 2.062 2.320 3.090
Os -2.062 2.320 3.090
Se 4.124 0.000 0.000
Se 2.062 -2.056 2.919
Se 0.000 0.000 0.000
Se -2.062 -2.056 2.919
```

---

No. 2
Here is crystalline Ba2GeOsO6 at its relaxed geometry from Alexandria. Energies are from PBE.

Output
formation energy without anion corrections = -1793 meV per atom
magnetic moment = 2.55 μB per cell
final energy = -6.738 eV per atom

The structure in extended XYZ format:
```
10
Lattice="5.722 0.000 0.000 0.000 5.722 0.000 2.861 2.861 4.043" Properties=species:S:1:pos:R:3 pbc="T T T"
Ba 5.722 2.861 2.022
Ba 2.861 5.722 2.022
Ge 2.861 2.861 0.000
Os 0.000 0.000 0.000
O 2.860 2.860 1.984
O 7.130 7.129 4.043
O 1.460 4.263 0.000
O 7.123 4.320 4.043
O 1.453 1.455 0.001
O 5.723 5.723 2.059
```

---

No. 3
Here is crystalline Ga3TcO at its relaxed geometry from Alexandria. Energies are from PBE.

Output
formation energy without anion corrections = 538 meV per atom
magnetic moment = 1.73 μB per cell
energy above the most stable polymorph in this dataset = 524.6 meV per atom
final energy = -4.343 eV per atom

The structure in extended XYZ format:
```
5
Lattice="-4.027 2.536 -0.786 -2.640 -3.974 0.704 -0.277 1.018 4.706" Properties=species:S:1:pos:R:3 pbc="T T T"
O -3.472 -0.210 2.312
Tc 0.000 0.000 0.000
Ga -1.320 -1.987 0.352
Ga -0.139 0.509 2.353
Ga -2.013 1.268 -0.393
```

---

No. 4
Here is crystalline TiCoCl3 at its relaxed geometry from Alexandria. Energies are from PBE.

Output
formation energy without anion corrections = -107 meV per atom
magnetic moment = 0.44 μB per cell
energy above the most stable polymorph in this dataset = 99.3 meV per atom
final energy = -4.215 eV per atom

The structure in extended XYZ format:
```
5
Lattice="4.696 0.000 0.000 0.000 4.696 0.000 0.000 0.000 4.696" Properties=species:S:1:pos:R:3 pbc="T T T"
Cl 0.000 2.348 0.000
Cl 0.000 0.000 2.348
Cl 2.348 0.000 0.000
Co 0.000 0.000 0.000
Ti 2.348 2.348 2.348
```

---

No. 5
Here is crystalline Er12Ru3C5 at its relaxed geometry from Alexandria. Energies are from PBE.

Output
magnetic moment = 0.00 μB per cell
final energy = -6.606 eV per atom
energy of formation from the pure elements = -0.171 eV/atom

The structure in extended XYZ format:
```
80
Lattice="-10.061 8.322 -1.596 -3.811 -10.094 7.524 9.997 6.270 5.810" Properties=species:S:1:pos:R:3 pbc="T T T"
Ru -7.725 3.240 2.351
Ru -10.411 0.495 4.972
Ru -0.383 -0.531 8.676
Ru 0.757 3.170 2.720
Ru -6.780 7.587 0.996
Ru -3.655 -1.621 5.556
Ru -0.219 6.119 6.181
Ru 2.906 -3.089 10.742
Ru -4.632 1.328 9.018
Ru -3.492 5.029 3.062
Ru 6.537 4.003 6.765
Ru 3.851 1.258 9.387
C -0.187 -1.177 4.074
C -1.905 -5.047 3.762
C 0.000 0.000 0.000
C -3.476 1.381 2.009
C -0.032 7.296 2.107
C -6.936 -0.886 2.964
C -0.367 -4.179 7.622
C 0.725 10.466 4.827
C -6.178 2.284 5.684
C 3.249 6.562 4.700
C -7.123 -2.064 7.038
C -1.937 2.249 5.869
C -5.030 4.161 -0.798
C 4.999 3.135 2.905
C 2.304 2.214 6.054
C -4.600 -5.968 6.911
C 3.093 -1.912 6.667
C -3.508 8.677 4.116
C -0.398 3.117 9.729
C -3.687 5.675 7.663
Er -7.312 4.802 -0.013
Er -1.217 -0.141 5.810
Er -8.274 6.136 2.961
Er -4.856 3.093 1.452
Er -1.766 1.954 8.342
Er -10.254 3.176 3.981
Er -2.070 -2.702 7.875
Er -3.214 -7.670 7.484
Er -2.918 -0.576 10.297
Er -7.552 1.139 4.288
Er -6.024 4.183 4.452
Er -11.411 -2.101 5.653
Er 1.324 -2.780 8.200
Er -4.479 -0.442 2.912
Er -0.527 -6.088 8.837
Er 1.282 5.950 3.749
Er 0.573 0.180 2.424
Er -6.356 -2.326 4.919
Er -8.840 -0.603 7.293
Er -1.891 -2.563 3.507
Er 0.455 -1.722 11.310
Er -4.212 1.270 6.186
Er -6.925 2.544 7.810
Er -0.014 9.106 6.485
Er 0.338 3.228 5.552
Er 3.051 1.954 3.928
Er -3.860 -4.608 5.252
Er 4.965 5.101 4.445
Er -4.330 6.220 0.428
Er -1.983 7.061 8.231
Er 2.482 6.824 6.818
Er -5.156 -1.452 7.989
Er -4.447 4.318 9.314
Er -3.347 10.586 2.901
Er -5.198 7.278 3.538
Er 7.537 6.599 6.085
Er 0.605 4.940 8.826
Er -0.956 5.074 1.441
Er 3.678 3.359 7.450
Er 2.150 0.316 7.286
Er -0.661 12.168 4.254
Er -1.805 7.200 3.863
Er 0.981 1.405 10.286
Er 6.380 1.322 7.757
Er -2.108 2.544 3.395
Er 4.400 -1.638 8.777
Er -2.657 4.639 5.928
Er 3.438 -0.304 11.751
```

---

No. 6
Here is crystalline SrLaAu at its relaxed geometry from Alexandria. Energies are from PBE.

Output
magnetic moment = 0.00 μB per cell
energy above the most stable polymorph in this dataset = 84.3 meV per atom
final energy = -3.702 eV per atom
energy of formation from the pure elements = -0.406 eV/atom

The structure in extended XYZ format:
```
3
Lattice="4.406 0.000 0.000 -2.203 3.815 0.000 0.000 0.000 7.062" Properties=species:S:1:pos:R:3 pbc="T T T"
Au 0.000 0.000 0.107
La 2.203 1.272 1.704
Sr 0.000 2.544 5.251
```

---

No. 7
Here is crystalline Hf5PdRh4 at its relaxed geometry from Alexandria. Energies are from PBE.

Output
magnetic moment = 0.00 μB per cell
final energy = -9.259 eV per atom
energy of formation from the pure elements = -0.822 eV/atom

The structure in extended XYZ format:
```
10
Lattice="3.270 0.000 0.000 0.000 3.270 0.000 0.000 0.000 16.490" Properties=species:S:1:pos:R:3 pbc="T T T"
Hf 1.635 1.635 1.719
Hf 1.635 1.635 4.991
Hf 1.635 1.635 8.245
Hf 1.635 1.635 11.499
Hf 1.635 1.635 14.771
Pd 0.000 0.000 0.000
Rh 0.000 0.000 3.397
Rh 0.000 0.000 6.636
Rh 0.000 0.000 9.855
Rh 0.000 0.000 13.094
```

---

No. 8
Here is crystalline Tc3HgRh at its relaxed geometry from Alexandria. Energies are from PBE.

Output
magnetic moment = 2.00 μB per cell
energy above the most stable polymorph in this dataset = 0.0 meV per atom
final energy = -5.983 eV per atom
energy of formation from the pure elements = 1.767 eV/atom

The structure in extended XYZ format:
```
5
Lattice="4.688 0.000 0.000 0.000 4.688 0.000 0.000 0.000 4.688" Properties=species:S:1:pos:R:3 pbc="T T T"
Rh 0.000 0.000 0.000
Hg 2.344 2.344 2.344
Tc 0.000 2.344 0.000
Tc 0.000 0.000 2.344
Tc 2.344 0.000 0.000
```

---

No. 9
Here is crystalline PCl2 at its relaxed geometry from Alexandria. Energies are from PBE.

Output
formation energy without anion corrections = 206 meV per atom
magnetic moment = 0.00 μB per cell
final energy = -2.828 eV per atom

The structure in extended XYZ format:
```
3
Lattice="5.691 -0.010 0.037 -0.179 5.688 -0.037 -0.732 -4.804 2.962" Properties=species:S:1:pos:R:3 pbc="T T T"
Cl 4.009 4.130 0.000
Cl 1.503 1.548 0.000
P 0.000 0.000 0.000
```

---

No. 10
Here is crystalline Ga3Te at its relaxed geometry from Alexandria. Energies are from PBE.

Output
formation energy without anion corrections = 28 meV per atom
magnetic moment = 0.00 μB per cell
energy above the most stable polymorph in this dataset = 12.0 meV per atom
final energy = -3.028 eV per atom

The structure in extended XYZ format:
```
8
Lattice="-6.094 -1.483 1.347 2.363 -1.154 -5.851 1.515 -4.809 1.561" Properties=species:S:1:pos:R:3 pbc="T T T"
Ga 0.162 -1.803 -1.250
Ga -1.795 -3.186 -3.613
Ga 1.402 -2.408 -4.320
Ga -2.377 -5.643 -1.692
Ga -0.420 -4.260 0.671
Ga -3.617 -5.038 1.377
Te 0.681 -4.871 -2.281
Te -2.896 -2.575 -0.662
```

---

No. 11
Here is crystalline Li5Dy3Cl12 at its relaxed geometry from Alexandria. Energies are from PBE.

Output
formation energy without anion corrections = -1850 meV per atom
magnetic moment = 0.11 μB per cell
final energy = -4.127 eV per atom

The structure in extended XYZ format:
```
80
Lattice="13.081 0.000 0.000 -4.360 12.333 0.000 -4.360 -6.166 10.680" Properties=species:S:1:pos:R:3 pbc="T T T"
Dy 7.630 3.854 1.335
Dy 7.630 8.479 1.335
Dy -1.090 5.395 6.675
Dy 1.090 -0.771 4.005
Dy 9.810 0.000 2.670
Dy 1.090 6.166 2.670
Dy 3.270 0.000 8.010
Dy -5.450 6.166 8.010
Dy 3.270 6.937 6.675
Dy 5.450 0.771 4.005
Dy -3.270 -2.312 9.345
Dy -3.270 2.312 9.345
Li -1.090 3.083 2.670
Li -2.180 6.166 0.000
Li 0.000 0.000 0.000
Li 3.270 2.312 1.335
Li 4.360 -3.083 5.340
Li 4.360 6.166 0.000
Li -3.270 6.937 4.005
Li 5.450 -3.854 9.345
Li 5.450 5.395 4.005
Li 1.090 -3.083 8.010
Li 3.270 9.249 2.670
Li 2.180 3.083 5.340
Li 6.540 0.000 0.000
Li -2.180 -3.083 5.340
Li -1.090 0.771 6.675
Li -1.090 10.020 1.335
Li -4.360 3.083 5.340
Li 7.630 -0.771 6.675
Li 1.090 3.854 9.345
Li 5.450 3.083 8.010
Cl 8.666 1.325 0.382
Cl 0.054 4.077 4.383
Cl 9.742 2.870 3.031
Cl 5.519 1.894 1.339
Cl 1.639 4.637 7.267
Cl 9.255 6.158 1.927
Cl -1.021 7.143 4.370
Cl -3.339 10.439 1.339
Cl 0.541 7.695 7.267
Cl 6.006 6.174 1.927
Cl 6.595 3.415 4.001
Cl 6.595 11.007 0.382
Cl -3.819 5.529 5.722
Cl 2.715 4.501 0.971
Cl -4.415 8.918 4.001
Cl 2.234 -2.090 6.297
Cl -0.541 0.892 2.309
Cl 2.715 7.839 0.957
Cl 5.519 9.462 3.031
Cl -0.535 4.493 0.957
Cl -2.721 7.058 8.371
Cl 3.201 5.189 4.370
Cl 5.999 6.803 5.722
Cl 4.895 -1.665 9.710
Cl 1.159 0.977 6.311
Cl -1.639 -0.637 4.958
Cl -0.535 7.831 0.971
Cl -1.159 -3.296 7.649
Cl 7.081 -0.892 2.309
Cl 4.895 1.673 9.724
Cl 1.645 -1.673 9.724
Cl 2.126 8.256 4.383
Cl 4.901 5.274 8.371
Cl 8.775 -2.751 6.679
Cl 8.179 0.637 4.958
Cl -2.234 -4.841 10.298
Cl 1.645 1.665 9.710
Cl 3.819 -1.529 3.413
Cl -1.645 -0.008 8.753
Cl -2.234 2.751 6.679
Cl 7.699 -4.273 9.341
Cl 5.382 -0.977 6.311
Cl -1.159 4.273 9.341
Cl -4.895 0.008 8.753
Cl 2.721 1.529 3.413
Cl -5.382 3.296 7.649
Cl 4.306 2.090 6.297
Cl -4.306 4.841 10.298
```

---

No. 12
Here is crystalline TeIr2Pd at its relaxed geometry from Alexandria. Energies are from PBE.

Output
formation energy without anion corrections = 858 meV per atom
magnetic moment = 0.00 μB per cell
final energy = -5.656 eV per atom

The structure in extended XYZ format:
```
8
Lattice="-0.423 -3.757 -3.901 -1.194 -3.752 3.743 -7.083 -2.390 -0.713" Properties=species:S:1:pos:R:3 pbc="T T T"
Ir -2.181 -3.389 -2.122
Ir -2.573 -3.437 1.647
Ir -5.927 -4.634 -0.569
Ir -6.719 -8.337 -0.699
Te 0.000 0.000 0.000
Te -4.157 -4.951 -2.347
Pd -0.808 -3.754 -0.079
Pd -4.543 -4.948 1.475
```

---

No. 13
Here is crystalline Li3Al4Au4 at its relaxed geometry from Alexandria. Energies are from PBE.

Output
magnetic moment = 0.00 μB per cell
final energy = -3.517 eV per atom
energy of formation from the pure elements = -0.442 eV/atom

The structure in extended XYZ format:
```
11
Lattice="-2.377 -2.790 1.848 5.839 -2.039 4.433 -3.510 6.825 1.231" Properties=species:S:1:pos:R:3 pbc="T T T"
Li -0.402 0.996 0.987
Li 0.354 1.001 6.525
Li 2.920 -1.019 2.217
Al -2.239 3.207 1.962
Al -0.009 -0.442 3.879
Al 2.191 -1.210 5.549
Al -0.038 2.439 3.633
Au 2.089 1.041 4.258
Au -2.137 0.956 3.254
Au 3.560 -3.053 4.529
Au -0.098 -1.775 1.752
```

---

No. 14
Here is crystalline HgTeIr2 at its relaxed geometry from Alexandria. Energies are from PBE.

Output
formation energy without anion corrections = 600 meV per atom
magnetic moment = 0.00 μB per cell
energy above the most stable polymorph in this dataset = 192.3 meV per atom
final energy = -4.691 eV per atom

The structure in extended XYZ format:
```
4
Lattice="-1.594 -2.820 -1.735 3.902 -2.145 -0.098 -0.937 -1.885 3.925" Properties=species:S:1:pos:R:3 pbc="T T T"
Hg -1.266 -2.353 1.095
Ir 0.000 0.000 0.000
Ir 1.483 -2.015 1.913
Te 1.154 -2.483 -0.917
```

---

No. 15
Here is crystalline CoPb at its relaxed geometry from Alexandria. Energies are from PBE.

Output
magnetic moment = 8.12 μB per cell
final energy = -5.022 eV per atom
energy of formation from the pure elements = 0.386 eV/atom

The structure in extended XYZ format:
```
12
Lattice="-2.591 2.780 -1.031 0.710 -2.337 -8.088 -5.301 -4.619 0.869" Properties=species:S:1:pos:R:3 pbc="T T T"
Co -3.479 -3.007 -6.886
Co -3.968 -1.399 -1.321
Co -1.183 0.471 -3.276
Co -0.962 -0.258 -5.799
Co -3.049 -2.656 0.500
Co -0.043 -1.515 -3.979
Pb -3.711 -4.143 -1.846
Pb -3.438 -5.041 -4.954
Pb -0.705 -3.002 -6.325
Pb -1.142 -1.563 -1.344
Pb -6.038 -2.742 0.262
Pb -3.032 -1.601 -4.217
```

---

No. 16
Here is crystalline TbNdMgTl at its relaxed geometry from Alexandria. Energies are from PBE.

Output
magnetic moment = 0.00 μB per cell
final energy = -3.590 eV per atom
energy of formation from the pure elements = -0.251 eV/atom

The structure in extended XYZ format:
```
4
Lattice="-5.095 -0.796 1.710 -3.169 -3.635 -2.502 -1.330 -4.629 2.512" Properties=species:S:1:pos:R:3 pbc="T T T"
Nd -7.195 -6.795 1.290
Tl 0.000 0.000 0.000
Tb -2.398 -2.265 0.430
Mg -4.797 -4.530 0.860
```

---

No. 17
Here is crystalline Cd6SnHg2 at its relaxed geometry from Alexandria. Energies are from PBE.

Output
magnetic moment = 0.00 μB per cell
energy above the most stable polymorph in this dataset = 0.0 meV per atom
final energy = -1.094 eV per atom
energy of formation from the pure elements = 0.028 eV/atom

The structure in extended XYZ format:
```
9
Lattice="-4.340 2.490 1.565 2.512 -4.761 1.975 7.727 3.248 5.516" Properties=species:S:1:pos:R:3 pbc="T T T"
Cd 7.523 0.756 7.064
Cd -1.624 0.220 1.992
Cd 1.255 0.456 0.949
Cd 0.907 1.251 3.867
Cd 4.644 0.520 8.107
Cd 4.992 -0.275 5.189
Sn 3.863 1.624 2.758
Hg 3.555 2.538 5.715
Hg 2.343 -1.561 3.341
```